Computed, not measured: PaNiO2 after structural relaxation at the GGA+U level of DFT.

abc: 5.661 5.661 5.661
angles: 39.02 39.02 39.02
Element x y z (fractional)
Pa  0.000  0.000  0.000
Ni  0.500  0.500  0.500
O  0.375  0.375  0.375
O  0.625  0.625  0.625

Final energy = -7.47 eV/atom
SG = R-3m, No. 166